The following is a DFT calculation (GGA-PBE) of a relaxed Pr2HoN2Cl2 crystal.

Its formation energy from raw total energies is -1.504 eV/atom. The space-group type is I4/mmm. The volume comes out at 154 Å³/cell. Its total energy is -45.01 eV/cell.

a b c (Å): 8.2794 8.2794 8.2794
angles (deg): 148.55 148.55 45.08
Fractional coordinates of all 7 atoms:
Pr (0.0981, 0.0981, 0.0000)
Pr (0.9019, 0.9019, 0.0000)
Ho (0.5000, 0.5000, 0.0000)
N (0.0000, 0.5000, 0.5000)
N (0.5000, 0.0000, 0.5000)
Cl (0.3177, 0.3177, 0.0000)
Cl (0.6823, 0.6823, 0.0000)